Compound: LiVP4H4O14
Source: the Alexandria database
Functional: GGA+U
Structure: optimized geometry

Geometry as POSCAR:
```
LiVP4H4O14
1.0
-4.643 -2.262 1.269
-2.848 -3.411 -5.629
2.535 -7.514 1.669
Li V P H O
1 1 4 4 14
direct
0.000 0.000 0.000
0.000 0.500 0.000
0.312 0.224 0.314
0.365 0.633 0.222
0.635 0.367 0.778
0.688 0.776 0.686
0.097 0.802 0.428
0.680 0.974 0.363
0.320 0.026 0.637
0.903 0.198 0.572
0.141 0.264 0.170
0.189 0.162 0.486
0.159 0.693 0.094
0.346 0.392 0.851
0.357 0.430 0.333
0.279 0.787 0.354
0.604 0.071 0.262
0.396 0.929 0.738
0.721 0.213 0.646
0.643 0.570 0.667
0.654 0.608 0.149
0.841 0.307 0.906
0.811 0.838 0.514
0.859 0.736 0.830
```

Computed properties:
Distance to the lowest polymorph of the same formula (eV/atom): 0.000

***

Compound: LiVP2HO7
Source: the Alexandria database
Functional: GGA+U
Structure: optimized geometry

Geometry as POSCAR:
```
LiVP2HO7
1.0
-5.708 3.263 -0.619
-0.357 -0.485 -6.630
-3.022 -5.670 -1.840
Li V P H O
2 2 4 2 14
direct
0.137 0.711 0.135
0.863 0.289 0.865
0.352 0.901 0.714
0.648 0.099 0.286
0.154 0.226 0.234
0.846 0.774 0.766
0.386 0.361 0.821
0.614 0.639 0.179
0.181 0.342 0.503
0.819 0.658 0.497
0.106 0.397 0.347
0.894 0.603 0.653
0.036 0.861 0.816
0.964 0.139 0.184
0.229 0.378 0.009
0.771 0.622 0.991
0.278 0.232 0.710
0.722 0.768 0.290
0.325 0.053 0.360
0.675 0.947 0.640
0.397 0.594 0.680
0.603 0.406 0.320
0.415 0.764 0.059
0.585 0.236 0.941
```

Computed properties:
Total energy (eV/atom): -6.90

***

Compound: LiVP3H8O13
Source: the Alexandria database
Functional: GGA+U
Structure: optimized geometry

Geometry as POSCAR:
```
LiVP3H8O13
1.0
7.085 -0.103 -0.198
1.502 7.451 -0.100
2.318 0.455 9.856
Li V P H O
2 2 6 16 26
direct
0.000 0.000 0.000
0.000 0.500 0.500
0.761 0.819 0.790
0.239 0.181 0.210
0.298 0.797 0.743
0.249 0.821 0.463
0.583 0.466 0.722
0.417 0.534 0.278
0.751 0.179 0.537
0.702 0.203 0.257
0.352 0.962 0.971
0.873 0.768 0.423
0.310 0.850 0.106
0.925 0.717 0.204
0.689 0.701 0.388
0.845 0.664 0.021
0.633 0.622 0.020
0.096 0.630 0.090
0.904 0.370 0.910
0.367 0.378 0.980
0.155 0.336 0.979
0.311 0.299 0.612
0.075 0.283 0.796
0.690 0.150 0.894
0.127 0.232 0.577
0.648 0.038 0.029
0.437 0.869 0.812
0.273 0.971 0.063
0.242 0.978 0.367
0.340 0.869 0.587
0.085 0.833 0.805
0.983 0.728 0.105
0.831 0.691 0.365
0.761 0.627 0.960
0.738 0.581 0.674
0.073 0.736 0.515
0.427 0.661 0.397
0.365 0.582 0.732
0.415 0.644 0.148
0.585 0.356 0.852
0.635 0.418 0.268
0.573 0.339 0.603
0.927 0.264 0.485
0.262 0.419 0.326
0.239 0.373 0.040
0.169 0.309 0.635
0.017 0.272 0.895
0.915 0.167 0.195
0.660 0.131 0.413
0.758 0.022 0.633
0.727 0.029 0.937
0.563 0.131 0.188
```

Computed properties:
Total energy (eV/atom): -6.13

***

Compound: Li2VPHO5
Source: the Alexandria database
Functional: GGA+U
Structure: optimized geometry

Geometry as POSCAR:
```
Li2VPHO5
1.0
-0.714 -3.206 4.256
-0.509 -4.051 -3.799
7.254 2.509 0.211
Li V P H O
4 2 2 2 10
direct
0.327 0.688 0.842
0.673 0.312 0.158
0.924 0.294 0.682
0.076 0.706 0.318
0.000 0.000 0.000
0.500 0.500 0.500
0.569 0.871 0.241
0.431 0.129 0.759
0.028 0.275 0.360
0.972 0.725 0.640
0.906 0.659 0.725
0.094 0.341 0.275
0.675 0.160 0.395
0.325 0.840 0.605
0.318 0.321 0.663
0.682 0.679 0.337
0.672 0.841 0.068
0.328 0.159 0.932
0.260 0.801 0.157
0.740 0.199 0.843
```

Computed properties:
Total energy (eV/atom): -6.51

***

Compound: LiVP4H4O14
Source: the Alexandria database
Functional: GGA+U
Structure: optimized geometry

Geometry as POSCAR:
```
LiVP4H4O14
1.0
-2.787 -1.086 4.215
-8.031 -3.191 -4.757
2.297 -10.036 0.818
Li V P H O
2 2 8 8 28
direct
0.226 0.231 0.773
0.774 0.769 0.227
0.500 0.500 0.500
0.000 0.000 0.000
0.064 0.453 0.277
0.561 0.954 0.776
0.936 0.547 0.723
0.439 0.046 0.224
0.304 0.682 0.080
0.806 0.184 0.582
0.696 0.318 0.920
0.195 0.816 0.418
0.196 0.632 0.892
0.705 0.134 0.393
0.804 0.368 0.108
0.295 0.866 0.607
0.886 0.807 0.828
0.392 0.308 0.327
0.114 0.193 0.172
0.608 0.692 0.673
0.838 0.501 0.378
0.336 0.005 0.877
0.162 0.499 0.622
0.664 0.995 0.123
0.022 0.339 0.197
0.514 0.838 0.700
0.978 0.661 0.803
0.486 0.162 0.300
0.109 0.813 0.073
0.619 0.316 0.574
0.891 0.187 0.927
0.381 0.684 0.426
0.444 0.309 0.871
0.945 0.814 0.365
0.556 0.691 0.129
0.055 0.186 0.635
0.117 0.586 0.183
0.613 0.086 0.681
0.883 0.414 0.817
0.387 0.914 0.319
0.349 0.618 0.945
0.856 0.120 0.447
0.651 0.382 0.055
0.144 0.880 0.553
0.321 0.408 0.347
0.816 0.908 0.847
0.679 0.592 0.653
0.183 0.092 0.153
```

Computed properties:
Distance to the lowest polymorph of the same formula (eV/atom): 0.032

***

Compound: LiVP2H2O8
Source: the Alexandria database
Functional: GGA+U
Structure: optimized geometry

Geometry as POSCAR:
```
LiVP2H2O8
1.0
-3.603 -0.874 -3.904
5.613 -3.462 -4.406
-1.571 -6.143 2.826
Li V P H O
2 2 4 4 16
direct
0.669 0.500 0.000
0.831 0.000 0.500
0.992 0.000 0.000
0.508 0.500 0.500
0.013 0.653 0.280
0.013 0.347 0.720
0.487 0.153 0.220
0.487 0.847 0.780
0.191 0.210 0.491
0.191 0.790 0.509
0.309 0.290 0.991
0.309 0.710 0.009
0.017 0.212 0.549
0.022 0.743 0.083
0.022 0.257 0.917
0.017 0.788 0.451
0.245 0.457 0.699
0.245 0.543 0.301
0.255 0.043 0.199
0.255 0.957 0.801
0.478 0.243 0.417
0.483 0.288 0.049
0.483 0.712 0.951
0.478 0.757 0.583
0.730 0.051 0.207
0.730 0.949 0.793
0.770 0.449 0.707
0.770 0.551 0.293
```

Computed properties:
Distance to the lowest polymorph of the same formula (eV/atom): 0.000

***

Compound: LiV3P3H2O12
Source: the Alexandria database
Functional: GGA+U
Structure: optimized geometry

Geometry as POSCAR:
```
LiV3P3H2O12
1.0
8.676 -0.039 0.010
-0.336 8.670 0.010
1.985 2.054 6.025
Li V P H O
2 6 6 4 24
direct
0.522 0.478 0.750
0.478 0.522 0.250
0.865 0.540 0.887
0.540 0.865 0.387
0.790 0.210 0.750
0.210 0.790 0.250
0.460 0.135 0.613
0.135 0.460 0.113
0.599 0.819 0.895
0.819 0.599 0.395
0.173 0.827 0.750
0.827 0.173 0.250
0.181 0.401 0.605
0.401 0.181 0.105
0.874 0.876 0.816
0.876 0.874 0.316
0.124 0.126 0.684
0.126 0.124 0.184
0.990 0.791 0.768
0.761 0.934 0.856
0.791 0.990 0.268
0.934 0.761 0.356
0.534 0.892 0.701
0.634 0.642 0.919
0.816 0.475 0.620
0.892 0.534 0.201
0.642 0.634 0.419
0.475 0.816 0.120
0.207 0.722 0.960
0.278 0.793 0.540
0.722 0.207 0.460
0.793 0.278 0.040
0.525 0.184 0.880
0.358 0.366 0.581
0.108 0.466 0.799
0.184 0.525 0.380
0.366 0.358 0.081
0.466 0.108 0.299
0.066 0.239 0.644
0.209 0.010 0.732
0.239 0.066 0.144
0.010 0.209 0.232
```

Computed properties:
Total energy (eV/atom): -7.09

***

Compound: Li3VP2HO8
Source: the Alexandria database
Functional: GGA+U
Structure: optimized geometry

Geometry as POSCAR:
```
Li3VP2HO8
1.0
-1.254 3.553 -3.431
-4.020 -2.424 2.056
-0.205 4.284 4.558
Li V P H O
3 1 2 1 8
direct
0.000 0.000 0.500
0.616 0.224 0.760
0.384 0.776 0.240
0.000 0.000 0.000
0.641 0.361 0.247
0.359 0.639 0.753
0.000 0.500 0.500
0.756 0.250 0.057
0.244 0.750 0.943
0.777 0.299 0.460
0.223 0.701 0.540
0.311 0.192 0.262
0.689 0.808 0.738
0.271 0.311 0.764
0.729 0.689 0.236
```

Computed properties:
Total energy (eV/atom): -6.61

***

Compound: Li2V3P4H4O16
Source: the Alexandria database
Functional: GGA+U
Structure: optimized geometry

Geometry as POSCAR:
```
Li2V3P4H4O16
1.0
-8.069 -0.453 1.785
1.849 -5.814 6.883
0.654 7.623 4.889
Li V P H O
4 6 8 8 32
direct
0.625 0.085 0.084
0.875 0.085 0.584
0.125 0.915 0.416
0.375 0.915 0.916
0.500 0.500 0.000
0.863 0.360 0.003
0.363 0.640 0.497
0.000 0.500 0.500
0.637 0.360 0.503
0.137 0.640 0.997
0.439 0.812 0.215
0.200 0.388 0.212
0.700 0.612 0.288
0.939 0.188 0.285
0.061 0.812 0.715
0.300 0.388 0.712
0.800 0.612 0.788
0.561 0.188 0.785
0.973 0.874 0.169
0.967 0.727 0.247
0.467 0.273 0.253
0.473 0.126 0.331
0.527 0.874 0.669
0.533 0.727 0.747
0.033 0.273 0.753
0.027 0.126 0.831
0.372 0.685 0.106
0.034 0.784 0.179
0.080 0.448 0.105
0.453 0.951 0.140
0.708 0.511 0.142
0.366 0.355 0.142
0.848 0.171 0.136
0.626 0.767 0.250
0.126 0.233 0.250
0.348 0.829 0.364
0.866 0.645 0.358
0.208 0.489 0.358
0.953 0.049 0.360
0.580 0.552 0.395
0.534 0.216 0.321
0.872 0.315 0.394
0.128 0.685 0.606
0.466 0.784 0.679
0.420 0.448 0.605
0.047 0.951 0.640
0.792 0.511 0.642
0.134 0.355 0.642
0.652 0.171 0.636
0.874 0.767 0.750
0.374 0.233 0.750
0.152 0.829 0.864
0.634 0.645 0.858
0.292 0.489 0.858
0.547 0.049 0.860
0.920 0.552 0.895
0.966 0.216 0.821
0.628 0.315 0.894
```

Computed properties:
Total energy (eV/atom): -6.80

***

Repeat the first record exactly.
Compound: LiVP4H4O14
Source: the Alexandria database
Functional: GGA+U
Structure: optimized geometry

Geometry as POSCAR:
```
LiVP4H4O14
1.0
-4.643 -2.262 1.269
-2.848 -3.411 -5.629
2.535 -7.514 1.669
Li V P H O
1 1 4 4 14
direct
0.000 0.000 0.000
0.000 0.500 0.000
0.312 0.224 0.314
0.365 0.633 0.222
0.635 0.367 0.778
0.688 0.776 0.686
0.097 0.802 0.428
0.680 0.974 0.363
0.320 0.026 0.637
0.903 0.198 0.572
0.141 0.264 0.170
0.189 0.162 0.486
0.159 0.693 0.094
0.346 0.392 0.851
0.357 0.430 0.333
0.279 0.787 0.354
0.604 0.071 0.262
0.396 0.929 0.738
0.721 0.213 0.646
0.643 0.570 0.667
0.654 0.608 0.149
0.841 0.307 0.906
0.811 0.838 0.514
0.859 0.736 0.830
```

Computed properties:
Distance to the lowest polymorph of the same formula (eV/atom): 0.000